# Ag2PtS2 | the Alexandria database | PBE-GGA | optimized geometry
data_Ag2PtS2
_chemical_formula_sum 'Ag4 Pt2 S4'
_symmetry_space_group_name_H-M 'P 4/m b m'
_symmetry_Int_Tables_number 127
_symmetry_space_group_name_Hall '-P 4 2ab'
_cell_length_a 6.517
_cell_length_b 6.517
_cell_length_c 4.283
_cell_angle_alpha 90.00
_cell_angle_beta 90.00
_cell_angle_gamma 90.00
loop_
_atom_site_label
_atom_site_fract_x
_atom_site_fract_y
_atom_site_fract_z
_atom_site_occupancy
Ag1 0.163 0.337 0.000 1
Pt1 0.000 0.000 0.500 1
S1 0.171 0.671 0.500 1
# Calculated volume: 182 Å³/cell
# DFT total energy: -3.920 eV per atom
# Density of states at the Fermi level: 0.280 states/eV/atom


# Ni2MoCl | the Alexandria database | PBE-GGA | optimized geometry
data_Ni2MoCl
_chemical_formula_sum 'Ni4 Mo2 Cl2'
_symmetry_space_group_name_H-M 'I 4/m m m'
_symmetry_Int_Tables_number 139
_symmetry_space_group_name_Hall '-I 4 2'
_cell_length_a 3.616
_cell_length_b 3.616
_cell_length_c 8.278
_cell_angle_alpha 90.00
_cell_angle_beta 90.00
_cell_angle_gamma 90.00
loop_
_atom_site_label
_atom_site_fract_x
_atom_site_fract_y
_atom_site_fract_z
_atom_site_occupancy
Ni1 0.000 0.500 0.250 1
Mo1 0.000 0.000 0.000 1
Cl1 0.000 0.000 0.500 1
# Calculated volume: 108 Å³/cell
# DFT total energy: -5.278 eV per atom
# Density of states at the Fermi level: 1.644 states/eV/atom


# Y2Mn3 | the Alexandria database | PBE-GGA | optimized geometry
data_Y2Mn3
_chemical_formula_sum 'Y16 Mn24'
_symmetry_space_group_name_H-M 'F d d 2'
_symmetry_Int_Tables_number 43
_symmetry_space_group_name_Hall 'F 2 -2d'
_cell_length_a 9.687
_cell_length_b 14.736
_cell_length_c 5.667
_cell_angle_alpha 90.00
_cell_angle_beta 90.00
_cell_angle_gamma 90.00
loop_
_atom_site_label
_atom_site_fract_x
_atom_site_fract_y
_atom_site_fract_z
_atom_site_occupancy
Y1 0.077 0.198 0.000 1
Mn1 0.000 0.000 0.186 1
Mn2 0.078 0.120 0.498 1
# Calculated volume: 809 Å³/cell
# Calculated formation energy: 1.07 eV/f.u.
# DFT total energy: -7.874 eV per atom
# Density of states at the Fermi level: 1.261 states/eV/atom


# Tb2ErHg2 | the Alexandria database | PBE-GGA | optimized geometry
data_Tb2ErHg2
_chemical_formula_sum 'Tb4 Er2 Hg4'
_symmetry_space_group_name_H-M 'I m m m'
_symmetry_Int_Tables_number 71
_symmetry_space_group_name_Hall '-I 2 2'
_cell_length_a 4.783
_cell_length_b 6.884
_cell_length_c 8.377
_cell_angle_alpha 90.00
_cell_angle_beta 90.00
_cell_angle_gamma 90.00
loop_
_atom_site_label
_atom_site_fract_x
_atom_site_fract_y
_atom_site_fract_z
_atom_site_occupancy
Tb1 0.000 0.000 0.197 1
Er1 0.000 0.500 0.000 1
Hg1 0.000 0.283 0.500 1
# Calculated volume: 276 Å³/cell
# Calculated formation energy: -1.59 eV/f.u.
# DFT total energy: -3.203 eV per atom
# Density of states at the Fermi level: 1.090 states/eV/atom


# Tb3PmY2P6 | the Alexandria database | PBE-GGA | optimized geometry
data_Tb3PmY2P6
_chemical_formula_sum 'Tb6 Pm2 Y4 P12'
_symmetry_space_group_name_H-M 'C 1 2/m 1'
_symmetry_Int_Tables_number 12
_cell_length_a 7.000
_cell_length_b 12.122
_cell_length_c 7.001
_cell_angle_alpha 90.00
_cell_angle_beta 109.45
_cell_angle_gamma 90.00
loop_
_symmetry_equiv_pos_as_xyz
'x,y,z'
'-x,-y,-z'
'-x,y,-z'
'x,-y,z'
'x+1/2,y+1/2,z'
'-x+1/2,-y+1/2,-z'
'-x+1/2,y+1/2,-z'
'x+1/2,-y+1/2,z'
loop_
_atom_site_label
_atom_site_fract_x
_atom_site_fract_y
_atom_site_fract_z
_atom_site_occupancy
Tb1 0.000 0.000 0.000 1
Tb2 0.000 0.334 0.000 1
Pm1 0.000 0.500 0.500 1
Y1 0.000 0.167 0.500 1
P1 0.247 0.000 0.751 1
P2 0.248 0.168 0.248 1
# Calculated volume: 560 Å³/cell
# Calculated formation energy: -19.28 eV/f.u.
# DFT total energy: -6.942 eV per atom
# Density of states at the Fermi level: 0.133 states/eV/atom


# Cs2SCl2F4 | the Alexandria database | PBE-GGA | optimized geometry
data_Cs2SCl2F4
_chemical_formula_sum 'Cs4 S2 Cl4 F8'
_symmetry_space_group_name_H-M 'I 4/m m m'
_symmetry_Int_Tables_number 139
_symmetry_space_group_name_Hall '-I 4 2'
_cell_length_a 7.094
_cell_length_b 7.094
_cell_length_c 8.823
_cell_angle_alpha 90.00
_cell_angle_beta 90.00
_cell_angle_gamma 90.00
loop_
_atom_site_label
_atom_site_fract_x
_atom_site_fract_y
_atom_site_fract_z
_atom_site_occupancy
Cs1 0.000 0.500 0.250 1
S1 0.000 0.000 0.000 1
Cl1 0.000 0.000 0.272 1
F1 0.185 0.185 0.000 1
# Calculated volume: 444 Å³/cell
# DFT total energy: -3.649 eV per atom
# Density of states at the Fermi level: 0.000 states/eV/atom


# SiMo2Cl | the Alexandria database | PBE-GGA | optimized geometry
data_SiMo2Cl
_chemical_formula_sum 'Si2 Mo4 Cl2'
_symmetry_space_group_name_H-M 'C 1 m 1'
_symmetry_Int_Tables_number 8
_cell_length_a 9.278
_cell_length_b 3.023
_cell_length_c 4.574
_cell_angle_alpha 90.00
_cell_angle_beta 104.19
_cell_angle_gamma 90.00
loop_
_symmetry_equiv_pos_as_xyz
'x,y,z'
'x,-y,z'
'x+1/2,y+1/2,z'
'x+1/2,-y+1/2,z'
loop_
_atom_site_label
_atom_site_fract_x
_atom_site_fract_y
_atom_site_fract_z
_atom_site_occupancy
Si1 0.000 0.000 0.000 1
Mo1 0.231 0.500 0.083 1
Mo2 0.451 0.000 0.443 1
Cl1 0.233 0.000 0.659 1
# Calculated volume: 124 Å³/cell
# DFT total energy: -6.940 eV per atom
# Density of states at the Fermi level: 0.680 states/eV/atom


# CsFe2Ag | the Alexandria database | PBE-GGA | optimized geometry
data_CsFe2Ag
_chemical_formula_sum 'Cs4 Fe8 Ag4'
_symmetry_space_group_name_H-M 'F m -3 m'
_symmetry_Int_Tables_number 225
_symmetry_space_group_name_Hall '-F 4 2 3'
_cell_length_a 7.011
_cell_length_b 7.011
_cell_length_c 7.011
_cell_angle_alpha 90.00
_cell_angle_beta 90.00
_cell_angle_gamma 90.00
loop_
_atom_site_label
_atom_site_fract_x
_atom_site_fract_y
_atom_site_fract_z
_atom_site_occupancy
Cs1 0.000 0.000 0.000 1
Fe1 0.250 0.250 0.250 1
Ag1 0.000 0.000 0.500 1
# Calculated volume: 345 Å³/cell
# Calculated formation energy: 6.16 eV/f.u.
# DFT total energy: -3.619 eV per atom
# Density of states at the Fermi level: 1.716 states/eV/atom


Question: The lowest DFT total energy belongs to which entry?
Answer: Y2Mn3


Question: What is the calculated volume in the eighth record?
Answer: 345 Å³/cell


Question: Among the records above, which one has the highest calculated volume?
Answer: Y2Mn3